Material: Pr3Dy2Ag3
Method: DFT, PBE
State: optimized geometry

Summary:
SG	Immm (71)
energy of formation from the pure elements	-142.9	kJ/mol of formula units

a = 11.5844 Å, b = 11.5844 Å, c = 11.5844 Å
α = 161.50°, β = 152.74°, γ = 33.15°
Atoms (fractional coordinates):
1 Pr 0.0000 0.0000 0.0000
2 Pr 0.3777 0.8777 0.5000
3 Pr 0.6223 0.1223 0.5000
4 Dy 0.2324 0.2324 0.0000
5 Dy 0.7676 0.7676 0.0000
6 Ag 0.1224 0.6224 0.5000
7 Ag 0.5000 0.5000 0.0000
8 Ag 0.8776 0.3776 0.5000

---

Material: U2CoGe
Method: DFT, PBE
State: optimized geometry

Summary:
SG	R-3m (166)
energy of formation from the pure elements	112.0	kJ/mol of formula units

a = 10.0339 Å, b = 10.0339 Å, c = 10.0339 Å
α = 16.81°, β = 16.81°, γ = 16.81°
Atoms (fractional coordinates):
1 U 0.0803 0.0803 0.0803
2 U 0.9197 0.9197 0.9197
3 Co 0.0000 0.0000 0.0000
4 Ge 0.5000 0.5000 0.5000

---

Material: Ba4AgBr2N
Method: DFT, PBE
State: optimized geometry

Summary:
raw total energy	-0.137	Ha/atom
SG	P2/m (10)

a = 8.0391 Å, b = 4.4729 Å, c = 8.4422 Å
α = 90.00°, β = 107.70°, γ = 90.00°
Atoms (fractional coordinates):
1 Ba 0.2066 0.0000 0.2997
2 Ba 0.2144 0.5000 0.7000
3 Ba 0.7856 0.5000 0.3000
4 Ba 0.7934 0.0000 0.7003
5 Ag 0.5000 0.5000 0.5000
6 Br 0.0000 0.5000 0.0000
7 Br 0.5000 0.0000 0.0000
8 N 0.0000 0.0000 0.5000

---

Material: BaAg2Hg10
Method: DFT, PBE
State: optimized geometry

Summary:
SG	Fmmm (69)
energy of formation from the pure elements	-127.5	kJ/mol of formula units

a = 10.5979 Å, b = 8.1092 Å, c = 8.0425 Å
α = 82.01°, β = 49.27°, γ = 48.72°
Atoms (fractional coordinates):
1 Ba 0.0000 0.0000 0.0000
2 Ag 0.0000 0.5000 0.0000
3 Ag 0.5000 0.0000 0.5000
4 Hg 0.0000 0.0000 0.5000
5 Hg 0.0133 0.3520 0.6480
6 Hg 0.2860 0.4939 0.5061
7 Hg 0.3520 0.0133 0.9867
8 Hg 0.4939 0.2860 0.7140
9 Hg 0.5000 0.5000 0.0000
10 Hg 0.5061 0.7140 0.2860
11 Hg 0.6480 0.9867 0.0133
12 Hg 0.7140 0.5061 0.4939
13 Hg 0.9867 0.6480 0.3520

---

Material: CeHo2C
Method: DFT, PBE
State: optimized geometry

Summary:
energy relative to the lowest polymorph listed for this composition	0.342	eV per atom
SG	P4/mmm (123)
energy of formation from the pure elements	105.8	kJ/mol of formula units

a = 3.1947 Å, b = 3.1947 Å, c = 8.6691 Å
α = 90.00°, β = 90.00°, γ = 90.00°
Atoms (fractional coordinates):
1 Ce 0.0000 0.0000 0.0000
2 Ho 0.5000 0.5000 0.3433
3 Ho 0.5000 0.5000 0.6567
4 C 0.0000 0.0000 0.5000

---

Material: CdPBr2
Method: DFT, PBE
State: optimized geometry

Summary:
energy relative to the lowest polymorph listed for this composition	0.313	eV per atom
SG	Immm (71)

a = 7.5572 Å, b = 7.5572 Å, c = 7.5572 Å
α = 153.27°, β = 139.73°, γ = 49.00°
Atoms (fractional coordinates):
1 Cd 0.0000 0.0000 0.0000
2 P 0.5000 0.5000 0.0000
3 Br 0.3574 0.8574 0.5000
4 Br 0.6426 0.1426 0.5000

---

Material: TmZrAu4
Method: DFT, PBE
State: optimized geometry

Summary:
SG	P4/mmm (123)
energy of formation from the pure elements	-424.1	kJ/mol of formula units

a = 3.6527 Å, b = 3.6527 Å, c = 8.9180 Å
α = 90.00°, β = 90.00°, γ = 90.00°
Atoms (fractional coordinates):
1 Tm 0.0000 0.0000 0.0000
2 Zr 0.5000 0.5000 0.5000
3 Au 0.0000 0.0000 0.3373
4 Au 0.0000 0.0000 0.6627
5 Au 0.5000 0.5000 0.1695
6 Au 0.5000 0.5000 0.8305

---

Material: CdReTeI2
Method: DFT, PBE
State: optimized geometry

Summary:
energy relative to the lowest polymorph listed for this composition	0.271	eV per atom
SG	P4/mmm (123)

a = 5.2097 Å, b = 5.2097 Å, c = 5.6536 Å
α = 90.00°, β = 90.00°, γ = 90.00°
Atoms (fractional coordinates):
1 Cd 0.0000 0.0000 0.0000
2 Re 0.0000 0.0000 0.5000
3 Te 0.5000 0.5000 0.0000
4 I 0.0000 0.5000 0.5000
5 I 0.5000 0.0000 0.5000

---

Material: VIn2OsRu
Method: DFT, PBE
State: optimized geometry

Summary:
SG	P4/mmm (123)
energy of formation from the pure elements	699.5	kJ/mol of formula units

a = 4.9755 Å, b = 4.9755 Å, c = 4.7100 Å
α = 90.00°, β = 90.00°, γ = 90.00°
Atoms (fractional coordinates):
1 V 0.0000 0.0000 0.0000
2 In 0.0000 0.5000 0.5000
3 In 0.5000 0.0000 0.5000
4 Os 0.5000 0.5000 0.0000
5 Ru 0.5000 0.5000 0.5000

---

Material: PrTmTh
Method: DFT, PBE
State: optimized geometry

Summary:
energy relative to the lowest polymorph listed for this composition	0.000	eV per atom
SG	P2_1/m (11)
energy of formation from the pure elements	9.7	kJ/mol of formula units

a = 3.6241 Å, b = 5.8228 Å, c = 9.5826 Å
α = 90.00°, β = 100.89°, γ = 90.00°
Atoms (fractional coordinates):
1 Pr 0.0561 0.2500 0.1142
2 Pr 0.9439 0.7500 0.8858
3 Tm 0.3840 0.2500 0.7680
4 Tm 0.6160 0.7500 0.2320
5 Th 0.2752 0.7500 0.5499
6 Th 0.7248 0.2500 0.4501

---

Material: Zn2AgPb2
Method: DFT, PBE
State: optimized geometry

Summary:
energy relative to the lowest polymorph listed for this composition	0.000	eV per atom
SG	P4/mbm (127)
energy of formation from the pure elements	54.0	kJ/mol of formula units

a = 7.0294 Å, b = 7.0294 Å, c = 4.6388 Å
α = 90.00°, β = 90.00°, γ = 90.00°
Atoms (fractional coordinates):
1 Zn 0.1309 0.3691 0.0000
2 Zn 0.3691 0.8691 0.0000
3 Zn 0.6309 0.1309 0.0000
4 Zn 0.8691 0.6309 0.0000
5 Ag 0.0000 0.0000 0.0000
6 Ag 0.5000 0.5000 0.0000
7 Pb 0.1774 0.6774 0.5000
8 Pb 0.3226 0.1774 0.5000
9 Pb 0.6774 0.8226 0.5000
10 Pb 0.8226 0.3226 0.5000

---

Material: Pr2Zn4Pt5
Method: DFT, PBE
State: optimized geometry

Summary:
SG	Fmmm (69)
energy of formation from the pure elements	-805.5	kJ/mol of formula units

a = 9.1959 Å, b = 8.3907 Å, c = 5.5030 Å
α = 79.95°, β = 63.95°, γ = 36.10°
Atoms (fractional coordinates):
1 Pr 0.1271 0.1271 0.8729
2 Pr 0.8729 0.8729 0.1271
3 Zn 0.2142 0.5258 0.4742
4 Zn 0.4742 0.7858 0.2142
5 Zn 0.5258 0.2142 0.7858
6 Zn 0.7858 0.4742 0.5258
7 Pt 0.0000 0.0000 0.5000
8 Pt 0.2500 0.2500 0.2500
9 Pt 0.5000 0.5000 0.0000
10 Pt 0.5000 0.5000 0.5000
11 Pt 0.7500 0.7500 0.7500

---

- Number 8 is which compound?
  CdReTeI2